A relaxed TaMnNO2 crystal. Source: Alexandria, functional PBE+U.

abc: 5.3855 5.3855 5.6371
angles: 62.41 62.41 60.18
Last column: magnetic moment on the atom in μB.
Fractional positions:
Ta (0.4956, 0.9895, 0.0165)  0.08
Ta (0.9895, 0.4956, 0.5165)  0.08
O (0.8776, 0.7556, 0.7309)  0.03
Mn (0.7015, 0.2453, 0.3464)  4.59
N (0.3612, 0.6553, 0.2028)  0.01
N (0.6553, 0.3612, 0.7028)  0.01
O (0.2763, 0.1404, 0.7060)  0.04
O (0.7556, 0.8776, 0.2309)  0.03
O (0.1404, 0.2763, 0.2060)  0.04
Mn (0.2453, 0.7015, 0.8464)  4.59

Summary:
**Density**: 7.813 g/cm³
**Final energy**: -9.259 eV/atom